An optimized crystal structure of K2SiH6Au. Source: Alexandria, functional PBE.

Its calculated density is 4.20 g/cm3. As for the total moment: 0.00 μB/f.u. The energy comes out at -3.1830 eV/atom.

a = 5.5719 Å, b = 5.5719 Å, c = 13.6505 Å
α = 90.00°, β = 90.00°, γ = 120.00°
With the nearest neighbours (Å) after each atom.
Space group R3m (No. 160, hexagonal axes)
Inequivalent atoms, fractional coordinates:
1 K 0.0000 0.0000 0.0000 x3  12 H 2.79-2.82
2 K 0.0000 0.0000 0.5000 x3  12 H 2.79-2.81
3 Si 0.0000 0.0000 0.2509 x3  6 H 1.67-1.68
4 H 0.0493 0.5246 0.9888 x9  1 Si 1.68
5 H 0.1922 0.3844 0.8472 x9  1 Si 1.67
6 Au 0.0000 0.0000 0.7482 x3  6 H 2.24-2.30

---

An optimized crystal structure of HoTmPb. Source: Alexandria, functional PBE.

The value obtained for the formation energy is -0.399 eV per atom. Its calculated density is 10.27 g/cm3. As for the total moment: 0.00 μB/f.u. The energy comes out at -4.6513 eV/atom.

a = 4.5865 Å, b = 4.5865 Å, c = 16.6337 Å
α = 90.00°, β = 90.00°, γ = 90.00°
With the nearest neighbours (Å) after each atom.
Space group I4/mmm (No. 139)
Inequivalent atoms, fractional coordinates:
1 Ho 0.0000 0.0000 0.1733 x4  5 Pb 3.14-3.30
2 Tm 0.0000 0.5000 0.0000 x4  4 Tm 3.24, 4 Pb 3.25
3 Pb 0.0000 0.0000 0.3618 x4  5 Ho 3.14-3.30, 4 Tm 3.25

---

An optimized crystal structure of Tb7PrDy3. Source: Alexandria, functional PBE.

The relative energy among the computed polymorphs comes out at 0.0000 eV/atom. The value obtained for the formation energy is 0.138 eV per atom. Its calculated density is 7.97 g/cm3. As for the total moment: 0.00 μB/f.u. The energy comes out at -4.4984 eV/atom.

a = 6.9797 Å, b = 5.5703 Å, c = 9.9091 Å
α = 90.00°, β = 109.74°, γ = 90.00°
With the nearest neighbours (Å) after each atom.
Space group P2/m (No. 10)
Inequivalent atoms, fractional coordinates:
1 Tb 0.0000 0.0000 0.0000 x1  4 Dy 3.40, 2 Tb 3.80
2 Tb 0.1465 0.5000 0.2898 x2  3 Tb 3.29-3.58, 2 Dy 3.32-3.34
3 Tb 0.3258 0.5000 0.6429 x2  5 Tb 3.29-3.58, 3 Dy 3.52-3.64, 2 Pr 3.57
4 Tb 0.4230 0.0000 0.8316 x2  3 Tb 3.14-3.29, 1 Dy 3.50
5 Pr 0.0000 0.0000 0.5000 x1  2 Dy 3.49, 10 Tb 3.57-3.82
6 Dy 0.2778 0.5000 0.9974 x2  1 Dy 3.08, 4 Tb 3.32-3.40
7 Dy 0.5000 0.0000 0.5000 x1  2 Pr 3.49, 10 Tb 3.50-3.84

---

An optimized crystal structure of TlCdGe2S6. Source: Alexandria, functional PBE.

Its formation energy from raw total energies is -0.264 eV per atom. Its calculated density is 4.20 g/cm3. As for the total moment: 0.00 μB/f.u. The energy comes out at -3.9926 eV/atom.

a = 12.9495 Å, b = 12.4584 Å, c = 6.7903 Å
α = 90.00°, β = 109.31°, γ = 90.00°
With the nearest neighbours (Å) after each atom.
Space group C2/c (No. 15)
Inequivalent atoms, fractional coordinates:
1 Tl 0.0000 0.1245 0.2500 x4  6 S 2.84-3.04
2 Cd 0.0000 0.2518 0.7500 x4  2 S 2.48
3 Ge 0.2018 0.4258 0.2220 x8  4 S 2.22-2.30
4 S 0.1166 0.0746 0.6738 x8  1 Ge 2.22
5 S 0.1300 0.4410 0.4881 x8  2 Ge 2.27-2.30
6 S 0.1405 0.2624 0.1022 x8  1 Ge 2.24, 1 Cd 2.48

---

An optimized crystal structure of RbPdBr. Source: Alexandria, functional PBE.

The relative energy among the computed polymorphs comes out at 0.0267 eV/atom. Its formation energy from raw total energies is -0.694 eV per atom. Its calculated density is 4.37 g/cm3. As for the total moment: 0.00 μB/f.u. The energy comes out at -3.3055 eV/atom.

a = 4.8606 Å, b = 4.8583 Å, c = 9.0724 Å
α = 90.00°, β = 105.45°, γ = 90.00°
With the nearest neighbours (Å) after each atom.
Space group Pm (No. 6)
Inequivalent atoms, fractional coordinates:
1 Rb 0.0000 0.0000 0.0000 x1  2 Pd 3.31, 6 Br 3.57-3.64
2 Rb 0.2622 0.0000 0.5294 x1  6 Pd 3.40-3.58, 4 Br 3.75
3 Pd 0.1269 0.5000 0.2568 x1  2 Br 2.64, 2 Pd 2.80
4 Pd 0.7057 0.5000 0.4156 x1  2 Br 2.43-2.49
5 Br 0.5681 0.5000 0.1382 x1  3 Pd 2.43-2.64
6 Br 0.8467 0.5000 0.7006 x1  1 Pd 2.49

---

An optimized crystal structure of PmSm2Ho3. Source: Alexandria, functional PBE.

The relative energy among the computed polymorphs comes out at 0.0951 eV/atom. The value obtained for the formation energy is 0.217 eV per atom. Its calculated density is 7.81 g/cm3. As for the total moment: 0.00 μB/f.u. The energy comes out at -4.4370 eV/atom.

a = 9.4931 Å, b = 13.1880 Å, c = 6.3855 Å
α = 90.00°, β = 90.00°, γ = 90.00°
With the nearest neighbours (Å) after each atom.
Space group Cmc2_1 (No. 36)
Inequivalent atoms, fractional coordinates:
1 Pm 0.0000 0.1759 0.0000 x4  6 Ho 3.17-3.40
2 Sm 0.1821 0.4418 0.7744 x8  4 Ho 3.36-3.51, 3 Sm 3.46-3.54
3 Ho 0.0000 0.0819 0.5257 x4  3 Pm 3.27-3.58, 2 Sm 3.43, 2 Ho 3.65
4 Ho 0.1824 0.3044 0.3211 x8  2 Pm 3.17-3.23, 3 Sm 3.36-3.51, 1 Ho 3.46

---

An optimized crystal structure of NiOsSeBr2. Source: Alexandria, functional PBE.

The relative energy among the computed polymorphs comes out at 0.0000 eV/atom. Its formation energy from raw total energies is 0.955 eV per atom. Its calculated density is 6.33 g/cm3. As for the total moment: 0.96 μB/f.u. The energy comes out at -3.8128 eV/atom.

a = 5.2733 Å, b = 5.2733 Å, c = 4.6034 Å
α = 90.00°, β = 90.00°, γ = 90.00°
With the nearest neighbours (Å) after each atom.
Space group P4/mmm (No. 123)
Inequivalent atoms, fractional coordinates:
1 Ni 0.0000 0.0000 0.0000 x1  8 Br 3.50, 4 Se 3.73
2 Os 0.5000 0.5000 0.5000 x1  2 Se 2.30
3 Se 0.5000 0.5000 0.0000 x1  2 Os 2.30
4 Br 0.0000 0.5000 0.5000 x2  2 Os 2.64

---

An optimized crystal structure of SrAgCl2. Source: Alexandria, functional PBE.

The relative energy among the computed polymorphs comes out at 0.3697 eV/atom. Its formation energy from raw total energies is -0.957 eV per atom. Its calculated density is 4.34 g/cm3. As for the total moment: 0.86 μB/f.u. The energy comes out at -3.0138 eV/atom.

a = 7.4127 Å, b = 7.4127 Å, c = 7.4127 Å
α = 90.00°, β = 90.00°, γ = 90.00°
With the nearest neighbours (Å) after each atom.
Space group F-43m (No. 216)
Inequivalent atoms, fractional coordinates:
1 Sr 0.0000 0.0000 0.0000 x4  4 Cl 3.21, 4 Ag 3.21
2 Ag 0.2500 0.2500 0.7500 x4  4 Cl 3.21, 4 Sr 3.21
3 Cl 0.0000 0.0000 0.5000 x4  4 Cl 3.21, 4 Ag 3.21
4 Cl 0.2500 0.2500 0.2500 x4  4 Cl 3.21, 4 Sr 3.21